Record 1
The following is a DFT calculation (PBE) of a geometry-optimized Co2SbHRu structure.

Geometry as POSCAR:
```
Co2SbHRu
1.0
3.807 0.000 0.000
0.000 3.807 0.000
0.000 0.000 3.878
Co Sb H Ru
2 1 1 1
Direct
0.000 0.500 0.000
0.500 0.000 0.000
0.000 0.000 0.500
0.500 0.500 0.000
0.500 0.500 0.500
```

Properties
- SG = P4/mmm (123)
- uncorrected energy (eV/atom) = -6.177
- N(E_F) (states/eV/cell) = 3.36
- spin magnetization (μB per formula unit) = 0.00

Record 2
The following is a DFT calculation (PBE) of a geometry-optimized Co2SiHRu structure.

Geometry as POSCAR:
```
Co2SiHRu
1.0
3.578 0.000 0.000
0.000 3.578 0.000
0.000 0.000 3.799
Co Si H Ru
2 1 1 1
Direct
0.000 0.500 0.000
0.500 0.000 0.000
0.000 0.000 0.500
0.500 0.500 0.000
0.500 0.500 0.500
```

Properties
- SG = P4/mmm (123)
- uncorrected energy (eV/atom) = -6.624
- N(E_F) (states/eV/cell) = 6.19
- spin magnetization (μB per formula unit) = 0.00

Record 3
The following is a DFT calculation (PBE) of a geometry-optimized CoSiHRu2 structure.

Geometry as POSCAR:
```
CoSiHRu2
1.0
4.060 0.000 0.000
0.000 4.060 0.000
0.000 0.000 3.185
Co Si H Ru
1 1 1 2
Direct
0.000 0.000 0.000
0.500 0.500 0.000
0.000 0.000 0.500
0.000 0.500 0.500
0.500 0.000 0.500
```

Properties
- SG = P4/mmm (123)
- uncorrected energy (eV/atom) = -7.000
- N(E_F) (states/eV/cell) = 4.91
- spin magnetization (μB per formula unit) = 0.44

Record 4
The following is a DFT calculation (PBE) of a geometry-optimized Sm2CoH6Ru structure.

Geometry as POSCAR:
```
Sm2CoH6Ru
1.0
0.000 3.630 3.641
3.613 0.000 3.641
3.613 3.630 0.000
Sm Co H Ru
2 1 6 1
Direct
0.250 0.250 0.250
0.750 0.750 0.750
0.000 0.000 0.000
0.242 0.242 0.758
0.242 0.758 0.242
0.242 0.758 0.758
0.758 0.242 0.242
0.758 0.242 0.758
0.758 0.758 0.242
0.500 0.500 0.500
```

Properties
- SG = Fmmm (69)
- uncorrected energy (eV/atom) = -5.040
- N(E_F) (states/eV/cell) = 2.88
- spin magnetization (μB per formula unit) = 0.00

Record 5
The following is a DFT calculation (PBE) of a geometry-optimized Co2SnHRu structure.

Geometry as POSCAR:
```
Co2SnHRu
1.0
3.814 0.000 0.000
0.000 3.814 0.000
0.000 0.000 3.883
Co Sn H Ru
2 1 1 1
Direct
0.000 0.500 0.000
0.500 0.000 0.000
0.000 0.000 0.500
0.500 0.500 0.000
0.500 0.500 0.500
```

Properties
- SG = P4/mmm (123)
- uncorrected energy (eV/atom) = -6.124
- N(E_F) (states/eV/cell) = 6.89
- spin magnetization (μB per formula unit) = 0.00

Record 6
The following is a DFT calculation (PBE) of a geometry-optimized SrCo2HRu structure.

Geometry as POSCAR:
```
SrCo2HRu
1.0
4.435 0.000 0.000
0.000 4.435 0.000
0.000 0.000 3.553
Sr Co H Ru
1 2 1 1
Direct
0.000 0.000 0.000
0.000 0.500 0.500
0.500 0.000 0.500
0.500 0.500 0.500
0.500 0.500 0.000
```

Properties
- SG = P4/mmm (123)
- N(E_F) (states/eV/cell) = 6.96
- spin magnetization (μB per formula unit) = 3.68
- energy above the most stable polymorph in this dataset (meV per atom) = 0

Record 7
The following is a DFT calculation (PBE) of a geometry-optimized SrCo2HRu structure.

Geometry as POSCAR:
```
SrCo2HRu
1.0
4.344 0.000 0.000
0.000 4.344 0.000
0.000 0.000 6.176
Sr Co H Ru
1 2 1 1
Direct
0.000 0.000 0.000
0.000 0.500 0.500
0.500 0.000 0.500
0.500 0.500 0.000
0.000 0.000 0.500
```

Properties
- SG = P4/mmm (123)
- N(E_F) (states/eV/cell) = 7.88
- spin magnetization (μB per formula unit) = 2.26
- energy above the most stable polymorph in this dataset (meV per atom) = 581

Record 8
The following is a DFT calculation (PBE) of a geometry-optimized TaCo2HRu structure.

Geometry as POSCAR:
```
TaCo2HRu
1.0
3.689 0.000 0.000
0.000 3.689 0.000
0.000 0.000 3.986
Ta Co H Ru
1 2 1 1
Direct
0.000 0.000 0.000
0.000 0.500 0.500
0.500 0.000 0.500
0.000 0.000 0.500
0.500 0.500 0.000
```

Properties
- SG = P4/mmm (123)
- N(E_F) (states/eV/cell) = 3.53
- spin magnetization (μB per formula unit) = 0.00
- energy above the most stable polymorph in this dataset (meV per atom) = 71